RbTaMnO4 GGA+U optimized geometry; total moment = 10.0 Bohr magnetons per cell; Fermi-level density of states = 0.00 states/eV/f.u.; final energy = -8.006 eV/atom
1.0
5.831 0.000 0.000
0.000 6.130 0.000
-0.331 0.000 8.454
Rb Ta Mn O
2 2 2 8
Cartesian
1.025 1.533 3.928 Rb
4.475 4.598 4.526 Rb
1.823 4.598 1.894 Ta
3.677 1.533 6.560 Ta
0.394 1.533 8.270 Mn
5.106 4.598 0.184 Mn
0.897 3.136 1.139 O
0.897 6.060 1.139 O
1.525 4.598 3.706 O
1.832 1.533 6.837 O
3.668 4.598 1.617 O
3.975 1.533 4.748 O
4.603 0.071 7.315 O
4.603 2.994 7.315 O